Record 1
SmTiAg2 (PBE, relaxed); DFT formation energy = -0.01 eV/atom; total energy = -4.5890 eV/atom
1.0
3.465 0.000 0.000
0.000 3.465 0.000
0.000 0.000 7.120
Sm Ti Ag
1 1 2
Direct
0.000 0.000 0.000 Sm
0.000 0.000 0.500 Ti
0.500 0.500 0.290 Ag
0.500 0.500 0.710 Ag

Record 2
SmTiAg (PBE, relaxed); DFT formation energy = 0.19 eV/atom; total energy = -4.9609 eV/atom
1.0
0.000 4.704 5.688
2.639 0.000 5.688
2.639 4.704 0.000
Sm Ti Ag
2 2 2
Direct
0.134 0.134 0.866 Sm
0.866 0.866 0.134 Sm
0.324 0.676 0.324 Ti
0.676 0.324 0.676 Ti
0.250 0.250 0.250 Ag
0.750 0.750 0.750 Ag

Record 3
Sm2TiAg (PBE, relaxed); DFT formation energy = 0.41 eV/atom; total energy = -4.6380 eV/atom; polymorph energy (0 for the lowest one) = 388 meV/atom
1.0
1.622 0.936 11.226
-1.622 0.936 11.226
0.000 -1.873 11.226
Sm Ti Ag
2 1 1
Direct
0.088 0.088 0.088 Sm
0.912 0.912 0.912 Sm
0.000 0.000 0.000 Ti
0.500 0.500 0.500 Ag

Record 4
Sm4Tl5Ag2 (PBE, relaxed); DFT formation energy = -0.28 eV/atom; total energy = -3.5920 eV/atom
1.0
8.313 0.000 0.000
0.000 3.708 0.000
-0.158 0.000 9.868
Sm Tl Ag
4 5 2
Direct
0.212 0.000 0.359 Sm
0.240 0.000 0.899 Sm
0.760 0.000 0.101 Sm
0.788 0.000 0.641 Sm
0.131 0.500 0.630 Tl
0.441 0.500 0.156 Tl
0.500 0.500 0.500 Tl
0.559 0.500 0.844 Tl
0.869 0.500 0.370 Tl
0.079 0.500 0.125 Ag
0.921 0.500 0.875 Ag

Record 5
Sm2Tl2Ag (PBE, relaxed); DFT formation energy = -0.29 eV/atom; total energy = -3.6935 eV/atom; polymorph energy (0 for the lowest one) = 0 meV/atom
1.0
5.724 -2.406 0.000
5.724 2.406 0.000
-4.593 0.000 10.002
Sm Tl Ag
4 4 2
Direct
0.031 0.031 0.345 Sm
0.171 0.171 0.096 Sm
0.829 0.829 0.904 Sm
0.969 0.969 0.655 Sm
0.359 0.359 0.413 Tl
0.461 0.461 0.125 Tl
0.539 0.539 0.875 Tl
0.641 0.641 0.587 Tl
0.280 0.280 0.662 Ag
0.720 0.720 0.338 Ag

Record 6
Sm6TlAg (PBE, relaxed); DFT formation energy = -0.14 eV/atom; total energy = -4.3357 eV/atom
1.0
-2.593 2.593 9.123
2.593 -2.593 9.123
2.593 2.593 -9.123
Sm Tl Ag
6 1 1
Direct
0.111 0.611 0.500 Sm
0.249 0.249 0.000 Sm
0.389 0.889 0.500 Sm
0.611 0.111 0.500 Sm
0.751 0.751 0.000 Sm
0.889 0.389 0.500 Sm
0.000 0.000 0.000 Tl
0.500 0.500 0.000 Ag

Record 7
Sm4Tl2Ag3 (PBE, relaxed); DFT formation energy = -0.26 eV/atom; total energy = -3.8382 eV/atom
1.0
5.141 -2.515 0.000
5.141 2.515 0.000
-2.259 0.000 9.097
Sm Tl Ag
4 2 3
Direct
0.062 0.062 0.346 Sm
0.360 0.360 0.101 Sm
0.640 0.640 0.899 Sm
0.938 0.938 0.654 Sm
0.269 0.269 0.736 Tl
0.731 0.731 0.264 Tl
0.000 0.000 0.000 Ag
0.367 0.367 0.433 Ag
0.633 0.633 0.567 Ag

Record 8
Sm4TlAg3 (PBE, relaxed); DFT formation energy = -0.30 eV/atom; total energy = -4.0242 eV/atom; polymorph energy (0 for the lowest one) = 0 meV/atom
1.0
2.653 1.531 8.668
-2.653 1.531 8.668
0.000 -3.063 8.668
Sm Tl Ag
4 1 3
Direct
0.121 0.121 0.121 Sm
0.372 0.372 0.372 Sm
0.628 0.628 0.628 Sm
0.879 0.879 0.879 Sm
0.500 0.500 0.500 Tl
0.000 0.000 0.000 Ag
0.247 0.247 0.247 Ag
0.753 0.753 0.753 Ag

Record 9
Sm3TlAg2 (PBE, relaxed); DFT formation energy = -0.31 eV/atom; total energy = -4.0105 eV/atom
1.0
3.688 0.000 0.000
0.000 3.688 0.000
0.000 0.000 11.750
Sm Tl Ag
3 1 2
Direct
0.000 0.000 0.000 Sm
0.000 0.000 0.321 Sm
0.000 0.000 0.679 Sm
0.500 0.500 0.500 Tl
0.500 0.500 0.159 Ag
0.500 0.500 0.841 Ag

Record 10
SmTlAg3 (PBE, relaxed); DFT formation energy = -0.01 eV/atom; total energy = -3.1382 eV/atom
1.0
2.386 -14.418 0.000
2.386 14.418 0.000
0.000 0.000 3.401
Sm Tl Ag
2 2 6
Direct
0.178 0.822 0.000 Sm
0.822 0.178 0.000 Sm
0.376 0.624 0.500 Tl
0.624 0.376 0.500 Tl
0.053 0.947 0.500 Ag
0.274 0.726 0.500 Ag
0.454 0.546 0.000 Ag
0.546 0.454 0.000 Ag
0.726 0.274 0.500 Ag
0.947 0.053 0.500 Ag

Record 11
Sm3Tl3Ag2 (PBE, relaxed); DFT formation energy = -0.30 eV/atom; total energy = -3.6653 eV/atom; polymorph energy (0 for the lowest one) = 0 meV/atom
1.0
8.000 0.000 0.000
-4.000 6.929 0.000
0.000 0.000 3.872
Sm Tl Ag
3 3 2
Direct
0.000 0.605 0.000 Sm
0.395 0.395 0.000 Sm
0.605 0.000 0.000 Sm
0.000 0.245 0.500 Tl
0.245 0.000 0.500 Tl
0.755 0.755 0.500 Tl
0.333 0.667 0.500 Ag
0.667 0.333 0.500 Ag

Record 12
Sm3Tl2Ag2 (PBE, relaxed); DFT formation energy = -0.31 eV/atom; total energy = -3.8266 eV/atom
1.0
2.317 -11.275 0.000
2.317 11.275 0.000
0.000 0.000 3.519
Sm Tl Ag
3 2 2
Direct
0.000 0.000 0.000 Sm
0.161 0.839 0.000 Sm
0.839 0.161 0.000 Sm
0.420 0.580 0.500 Tl
0.580 0.420 0.500 Tl
0.284 0.716 0.500 Ag
0.716 0.284 0.500 Ag

Q: Number 3 is which compound?
A: Sm2TiAg